# 1
## Li4Cd (PBE-GGA)

Data for an optimized crystal structure of Li4Cd.

Density in g/cm³: 2.5
Energy above the lowest structure with this stoichiometry in kcal/mol of atoms: 1.80
Total energy in eV per atom: -1.779
Calculated formation energy in kJ/mol of formula units: -31

Cell: 4.930 6.088 7.553 Å, 90.00 126.26 90.00°
Space group P2_1/c (No. 14)
Inequivalent atoms, fractional coordinates:
Li: 0.074 0.209 0.069 x4
Li: 0.293 0.570 0.292 x4
Cd: 0.500 0.000 0.500 x2



# 2
## MgIn2Ag (PBE-GGA)

Data for an optimized crystal structure of MgIn2Ag.

Density in g/cm³: 6.6
Total energy in eV per atom: -2.536
Calculated formation energy in kJ/mol of formula units: -21

Cell: 3.250 3.250 8.570 Å, 90.00 90.00 90.00°
Space group P4mm (No. 99)
Inequivalent atoms, fractional coordinates:
Mg: 0.000 0.000 0.000 x1
In: 0.000 0.000 0.439 x1
In: 0.500 0.500 0.735 x1
Ag: 0.500 0.500 0.200 x1



# 3
## RbZn2GaRu (PBE-GGA)

Data for an optimized crystal structure of RbZn2GaRu.

Density in g/cm³: 5.3
Total energy in eV per atom: -3.177
Calculated formation energy in kJ/mol of formula units: -6

Cell: 5.000 5.000 4.839 Å, 90.00 90.00 90.00°
Space group P4/mmm (No. 123)
Inequivalent atoms, fractional coordinates:
Rb: 0.000 0.000 0.000 x1
Zn: 0.000 0.500 0.500 x2
Ga: 0.500 0.500 0.000 x1
Ru: 0.500 0.500 0.500 x1



# 4
## CsPd2Se2 (PBE-GGA)

Data for an optimized crystal structure of CsPd2Se2.

Density in g/cm³: 6.3
Energy above the lowest structure with this stoichiometry in kcal/mol of atoms: 0.80
Total energy in eV per atom: -4.141
Uncorrected formation energy in meV per atom: -499

Cell: 4.476 4.476 13.314 Å, 90.00 90.00 90.00°
Space group I4/mmm (No. 139)
Inequivalent atoms, fractional coordinates:
Cs: 0.000 0.000 0.000 x2
Pd: 0.000 0.500 0.250 x4
Se: 0.000 0.000 0.343 x4



# 5
## TiPtIN2 (PBE-GGA)

Data for an optimized crystal structure of TiPtIN2.

Density in g/cm³: 6.3
Energy above the lowest structure with this stoichiometry in kcal/mol of atoms: 15.58
Total energy in eV per atom: -5.140
Uncorrected formation energy in meV per atom: 1288

Cell: 3.829 3.829 7.132 Å, 90.00 90.00 90.00°
Space group P4/mmm (No. 123)
Inequivalent atoms, fractional coordinates:
Ti: 0.000 0.000 0.000 x1
Pt: 0.500 0.500 0.500 x1
I: 0.500 0.500 0.000 x1
N: 0.000 0.500 0.500 x2



# 6
## AcPuCu2 (PBE-GGA)

Data for an optimized crystal structure of AcPuCu2.

Density in g/cm³: 10.4
Energy above the lowest structure with this stoichiometry in kcal/mol of atoms: 0.00
Total energy in eV per atom: -6.603
Calculated formation energy in kJ/mol of formula units: 21

Cell: 3.672 3.672 7.097 Å, 90.00 90.00 90.00°
Space group P4/mmm (No. 123)
Inequivalent atoms, fractional coordinates:
Ac: 0.000 0.000 0.000 x1
Pu: 0.000 0.000 0.500 x1
Cu: 0.500 0.500 0.288 x2



# 7
## TaTcPb (PBE-GGA)

Data for an optimized crystal structure of TaTcPb.

Density in g/cm³: 12.8
Energy above the lowest structure with this stoichiometry in kcal/mol of atoms: 0.54
Total energy in eV per atom: -8.310
Calculated formation energy in kJ/mol of formula units: 96

Cell: 3.2418 3.2418 6.9331 Å, 90.00 90.00 120.00°
Space group P3m1 (No. 156)
Inequivalent atoms, fractional coordinates:
Ta: 0.0000 0.0000 0.0000 x1
Tc: 0.6667 0.3333 0.2426 x1
Pb: 0.3333 0.6667 0.6100 x1



# 8
## K2NpI2Br4 (PBE-GGA)

Data for an optimized crystal structure of K2NpI2Br4.

Density in g/cm³: 3.9
Total energy in eV per atom: -4.141
Uncorrected formation energy in meV per atom: -1372

Cell: 13.976 7.909 8.126 Å, 90.00 123.22 90.00°
Space group C2/m (No. 12)
Inequivalent atoms, fractional coordinates:
K: 0.249 0.000 0.206 x4
Np: 0.000 0.500 0.000 x2
I: 0.245 0.500 0.347 x4
Br: 0.057 0.254 0.823 x8



# 9
## Sm2AlNi3 (PBE-GGA)

Data for an optimized crystal structure of Sm2AlNi3.

Density in g/cm³: 8.2
Total energy in eV per atom: -5.520
Calculated formation energy in kJ/mol of formula units: -250

Cell: 5.3935 5.3935 8.1190 Å, 90.00 90.00 120.00°
Space group P6_3/mmc (No. 194)
Inequivalent atoms, fractional coordinates:
Sm: 0.3333 0.6667 0.0577 x4
Al: 0.0000 0.0000 0.0000 x2
Ni: 0.1665 0.3329 0.7500 x6



# 10
## LiSc4Hg (PBE-GGA)

Data for an optimized crystal structure of LiSc4Hg.

Density in g/cm³: 4.5
Total energy in eV per atom: -4.318
Calculated formation energy in kJ/mol of formula units: 158

Cell: 8.312 8.312 8.312 Å, 90.00 90.00 90.00°
Space group F-43m (No. 216)
Inequivalent atoms, fractional coordinates:
Li: 0.000 0.000 0.000 x4
Sc: 0.124 0.124 0.624 x16
Hg: 0.250 0.250 0.250 x4



# 11
## Sr4AlZn3 (PBE-GGA)

Data for an optimized crystal structure of Sr4AlZn3.

Density in g/cm³: 3.7
Total energy in eV per atom: -1.972
Calculated formation energy in kJ/mol of formula units: -143

Cell: 4.594 4.897 11.499 Å, 90.00 90.00 90.00°
Space group Pmm2 (No. 25)
Inequivalent atoms, fractional coordinates:
Sr: 0.000 0.000 0.000 x1
Sr: 0.000 0.500 0.498 x1
Sr: 0.500 0.000 0.287 x1
Sr: 0.500 0.500 0.787 x1
Al: 0.500 0.500 0.090 x1
Zn: 0.000 0.000 0.697 x1
Zn: 0.000 0.500 0.195 x1
Zn: 0.500 0.000 0.588 x1



# 12
## Pr3Ho6Th2Sc (PBE-GGA)

Data for an optimized crystal structure of Pr3Ho6Th2Sc.

Density in g/cm³: 8.4
Total energy in eV per atom: -5.223
Calculated formation energy in kJ/mol of formula units: 29

Cell: 6.160 10.663 11.781 Å, 90.00 100.04 90.00°
Space group C2/m (No. 12)
Inequivalent atoms, fractional coordinates:
Pr: 0.000 0.000 0.000 x2
Pr: 0.000 0.334 0.000 x4
Ho: 0.247 0.000 0.743 x4
Ho: 0.247 0.333 0.743 x8
Th: 0.000 0.166 0.500 x4
Sc: 0.000 0.500 0.500 x2



# 13
## Ca5NpN4 (PBE-GGA)

Data for an optimized crystal structure of Ca5NpN4.

Density in g/cm³: 4.3
Total energy in eV per atom: -6.527
Uncorrected formation energy in meV per atom: -902

Cell: 15.449 3.545 7.214 Å, 90.00 102.94 90.00°
Space group C2/m (No. 12)
Inequivalent atoms, fractional coordinates:
Ca: 0.000 0.000 0.000 x2
Ca: 0.161 0.500 0.807 x4
Ca: 0.163 0.500 0.351 x4
Np: 0.000 0.000 0.500 x2
N: 0.000 0.500 0.284 x4
N: 0.145 0.000 0.568 x4



# 14
## ZnSbAu2O6 (PBE-GGA)

Data for an optimized crystal structure of ZnSbAu2O6.

Density in g/cm³: 8.2
Total energy in eV per atom: -4.827
Uncorrected formation energy in meV per atom: -657

Cell: 11.440 7.803 6.311 Å, 90.00 103.70 90.00°
Space group C2/c (No. 15)
Inequivalent atoms, fractional coordinates:
Zn: 0.000 0.124 0.250 x4
Sb: 0.000 0.285 0.750 x4
Au: 0.233 0.365 0.222 x8
O: 0.057 0.307 0.079 x8
O: 0.091 0.076 0.664 x8
O: 0.172 0.380 0.740 x8



# 15
## Cs4H2Au (PBE-GGA)

Data for an optimized crystal structure of Cs4H2Au.

Density in g/cm³: 4.0
Energy above the lowest structure with this stoichiometry in kcal/mol of atoms: 0.73
Total energy in eV per atom: -2.035

Cell: 10.807 10.807 10.466 Å, 90.00 90.00 90.00°
Space group I4_1/amd (No. 141, origin choice 2)
Inequivalent atoms, fractional coordinates:
Cs: 0.000 0.067 0.212 x16
H: 0.000 0.000 0.500 x8
Au: 0.000 0.250 0.875 x4



# 16
## Ca2MnAlS5 (PBE-GGA)

Data for an optimized crystal structure of Ca2MnAlS5.

Density in g/cm³: 2.9
Total energy in eV per atom: -5.529
Uncorrected formation energy in meV per atom: -1357

Cell: 3.717 16.622 12.140 Å, 90.00 90.00 90.00°
Space group Cmc2_1 (No. 36)
Inequivalent atoms, fractional coordinates:
Ca: 0.000 0.101 0.000 x4
Ca: 0.000 0.129 0.659 x4
Mn: 0.000 0.223 0.385 x4
Al: 0.000 0.432 0.785 x4
S: 0.000 0.056 0.393 x4
S: 0.000 0.273 0.020 x4
S: 0.000 0.297 0.753 x4
S: 0.000 0.365 0.339 x4
S: 0.000 0.494 0.623 x4



# 17
## AcTlSb4 (PBE-GGA)

Data for an optimized crystal structure of AcTlSb4.

Density in g/cm³: 8.2
Total energy in eV per atom: -4.076
Uncorrected formation energy in meV per atom: -249

Cell: 9.073 9.073 9.073 Å, 90.00 90.00 90.00°
Space group F-43m (No. 216)
Inequivalent atoms, fractional coordinates:
Ac: 0.000 0.000 0.000 x4
Tl: 0.250 0.250 0.250 x4
Sb: 0.123 0.123 0.623 x16



# 18
## Sm2ErSc4 (PBE-GGA)

Data for an optimized crystal structure of Sm2ErSc4.

Density in g/cm³: 5.3
Total energy in eV per atom: -5.440
Calculated formation energy in kJ/mol of formula units: 121

Cell: 3.660 21.065 5.237 Å, 90.00 90.00 90.00°
Space group Cmmm (No. 65)
Inequivalent atoms, fractional coordinates:
Sm: 0.000 0.074 0.000 x4
Er: 0.000 0.500 0.500 x2
Sc: 0.000 0.183 0.500 x4
Sc: 0.000 0.302 0.000 x4



# 19
## HoGaOs (PBE-GGA)

Data for an optimized crystal structure of HoGaOs.

Density in g/cm³: 12.6
Total energy in eV per atom: -6.563
Calculated formation energy in kJ/mol of formula units: -83

Cell: 3.332 3.332 10.063 Å, 90.00 90.00 90.00°
Space group I4mm (No. 107)
Inequivalent atoms, fractional coordinates:
Ho: 0.000 0.000 0.000 x2
Ga: 0.000 0.000 0.703 x2
Os: 0.000 0.000 0.319 x2



# 20
## ErMgCd2 (PBE-GGA)

Data for an optimized crystal structure of ErMgCd2.

Density in g/cm³: 7.5
Energy above the lowest structure with this stoichiometry in kcal/mol of atoms: 0.00
Total energy in eV per atom: -2.288
Calculated formation energy in kJ/mol of formula units: -112

Cell: 7.169 7.169 7.169 Å, 90.00 90.00 90.00°
Space group Fm-3m (No. 225)
Inequivalent atoms, fractional coordinates:
Er: 0.000 0.000 0.000 x4
Mg: 0.000 0.000 0.500 x4
Cd: 0.250 0.250 0.250 x8